No. 1
DFT (PBE-GGA) results for a geometry-optimized NbV2TeI structure.

Computed properties:
energy relative to the elements, uncorrected: 1.23 eV per atom

a = 5.100 Å, b = 5.100 Å, c = 5.138 Å
α = 90.00°, β = 90.00°, γ = 90.00°
Space group P4/mmm (No. 123)
Unique sites:
Nb (0.000, 0.000, 0.000) x1
V (0.000, 0.500, 0.000) x2
Te (0.500, 0.500, 0.500) x1
I (0.000, 0.000, 0.500) x1

No. 2
DFT (PBE-GGA) results for a geometry-optimized LaPr2TmSe5 structure.

Computed properties:
energy relative to the elements, uncorrected: -1.41 eV per atom

a = 5.085 Å, b = 5.085 Å, c = 11.029 Å
α = 90.00°, β = 90.00°, γ = 90.00°
Space group P4/mmm (No. 123)
Unique sites:
La (0.000, 0.000, 0.000) x1
Pr (0.500, 0.500, 0.321) x2
Tm (0.000, 0.000, 0.500) x1
Se (0.000, 0.000, 0.253) x2
Se (0.000, 0.500, 0.500) x2
Se (0.500, 0.500, 0.000) x1

No. 3
DFT (PBE-GGA) results for a geometry-optimized Tc8H structure.

Computed properties:
electronic total energy: -9.610 eV/atom

a = 5.5478 Å, b = 5.5478 Å, c = 4.4515 Å
α = 90.00°, β = 90.00°, γ = 120.00°
Space group P-3m1 (No. 164)
Unique sites:
Tc (0.1697, 0.3394, 0.2374) x6
Tc (0.3333, 0.6667, 0.7568) x2
H (0.0000, 0.0000, 0.5000) x1

No. 4
DFT (PBE-GGA) results for a geometry-optimized Mg3Cd4In4 structure.

Computed properties:
ΔH_f (0 K): -0.034 eV/atom

a = 3.274 Å, b = 4.441 Å, c = 18.028 Å
α = 96.83°, β = 93.79°, γ = 91.09°
Space group P-1 (No. 2)
Unique sites:
Mg (0.000, 0.000, 0.000) x1
Mg (0.367, 0.367, 0.733) x2
Cd (0.171, 0.175, 0.352) x2
Cd (0.464, 0.456, 0.915) x2
In (0.089, 0.087, 0.176) x2
In (0.279, 0.277, 0.552) x2

no.,magnetic moment (μB per formula unit)
1,4.16
2,0.00
3,0.00
4,0.00